[1]
Density functional theory data (GGA-PBE) for crystalline BiTeSeI2 at its relaxed geometry.

**Symmetry**: P4/mmm, No. 123

Lattice parameters (Å, degrees): 5.652 5.652 5.614 90.00 90.00 90.00
Fractional positions:
1 Bi 0.000 0.000 0.000
2 Te 0.500 0.500 0.000
3 Se 0.500 0.500 0.500
4 I 0.000 0.500 0.500
5 I 0.500 0.000 0.500

[2]
Density functional theory data (GGA-PBE) for crystalline BiTeSeI2 at its relaxed geometry.

**Symmetry**: P4/mmm, No. 123

Lattice parameters (Å, degrees): 6.107 6.107 6.161 90.00 90.00 90.00
Fractional positions:
1 Bi 0.000 0.000 0.000
2 Te 0.000 0.000 0.500
3 Se 0.500 0.500 0.500
4 I 0.000 0.500 0.000
5 I 0.500 0.000 0.000

[3]
Density functional theory data (GGA-PBE) for crystalline BiTe2SeI at its relaxed geometry.

**Symmetry**: P4/mmm, No. 123

Lattice parameters (Å, degrees): 5.487 5.487 5.696 90.00 90.00 90.00
Fractional positions:
1 Bi 0.000 0.000 0.000
2 Te 0.000 0.500 0.500
3 Te 0.500 0.000 0.500
4 Se 0.500 0.500 0.500
5 I 0.500 0.500 0.000

[4]
Density functional theory data (GGA-PBE) for crystalline BiTe2SeI at its relaxed geometry.

**Symmetry**: P4/mmm, No. 123

Lattice parameters (Å, degrees): 6.042 6.042 6.101 90.00 90.00 90.00
Fractional positions:
1 Bi 0.000 0.000 0.000
2 Te 0.000 0.500 0.000
3 Te 0.500 0.000 0.000
4 Se 0.500 0.500 0.500
5 I 0.000 0.000 0.500

[5]
Density functional theory data (GGA-PBE) for crystalline Tl2BiSeI at its relaxed geometry.

**Symmetry**: P4/mmm, No. 123

Lattice parameters (Å, degrees): 5.886 5.886 5.699 90.00 90.00 90.00
Fractional positions:
1 Tl 0.000 0.500 0.000
2 Tl 0.500 0.000 0.000
3 Bi 0.000 0.000 0.500
4 Se 0.500 0.500 0.000
5 I 0.500 0.500 0.500

[6]
Density functional theory data (GGA-PBE) for crystalline SiBiI2 at its relaxed geometry.

**Symmetry**: Fm-3m, No. 225

Lattice parameters (Å, degrees): 5.508 5.508 5.508 60.00 60.00 60.00
Fractional positions:
1 Si 0.000 0.000 0.000
2 Bi 0.500 0.500 0.500
3 I 0.250 0.250 0.250
4 I 0.750 0.750 0.750

[7]
Density functional theory data (GGA-PBE) for crystalline Si2BiI at its relaxed geometry.

**Symmetry**: I-42d, No. 122

Lattice parameters (Å, degrees): 6.850 6.850 6.850 112.26 112.26 104.03
Fractional positions:
1 Si 0.105 0.625 0.980
2 Si 0.375 0.355 0.480
3 Si 0.645 0.125 0.020
4 Si 0.875 0.895 0.520
5 Bi 0.000 0.000 0.000
6 Bi 0.750 0.250 0.500
7 I 0.250 0.750 0.500
8 I 0.500 0.500 0.000

[8]
Density functional theory data (GGA-PBE) for crystalline Si2BiI at its relaxed geometry.

**Symmetry**: Fm-3m, No. 225

Lattice parameters (Å, degrees): 5.198 5.198 5.198 60.00 60.00 60.00
Fractional positions:
1 Si 0.250 0.250 0.250
2 Si 0.750 0.750 0.750
3 Bi 0.000 0.000 0.000
4 I 0.500 0.500 0.500

[9]
Density functional theory data (GGA-PBE) for crystalline SiBiI at its relaxed geometry.

**Symmetry**: P-1, No. 2

Lattice parameters (Å, degrees): 3.656 4.294 14.551 82.60 84.39 64.85
Fractional positions:
1 Si 0.112 0.423 0.287
2 Si 0.888 0.577 0.713
3 Bi 0.386 0.793 0.394
4 Bi 0.614 0.207 0.606
5 I 0.305 0.632 0.856
6 I 0.695 0.368 0.144

[10]
Density functional theory data (GGA-PBE) for crystalline SiBiI2 at its relaxed geometry.

**Symmetry**: I-42d, No. 122

Lattice parameters (Å, degrees): 8.502 8.502 8.502 96.18 96.18 141.68
Fractional positions:
1 Si 0.000 0.000 0.000
2 Si 0.750 0.250 0.500
3 Bi 0.250 0.750 0.500
4 Bi 0.500 0.500 0.000
5 I 0.375 0.127 0.252
6 I 0.873 0.125 0.248
7 I 0.875 0.123 0.748
8 I 0.877 0.625 0.752

[11]
Density functional theory data (GGA-PBE) for crystalline SiTc2BiI at its relaxed geometry.

**Symmetry**: P4/mmm, No. 123

Lattice parameters (Å, degrees): 4.885 4.885 6.041 90.00 90.00 90.00
Fractional positions:
1 Si 0.000 0.000 0.000
2 Tc 0.000 0.500 0.500
3 Tc 0.500 0.000 0.500
4 Bi 0.500 0.500 0.000
5 I 0.500 0.500 0.500

[12]
Density functional theory data (GGA-PBE) for crystalline SiBiTeI2 at its relaxed geometry.

**Symmetry**: P4/mmm, No. 123

Lattice parameters (Å, degrees): 5.414 5.414 5.606 90.00 90.00 90.00
Fractional positions:
1 Si 0.000 0.000 0.000
2 Bi 0.500 0.500 0.500
3 Te 0.000 0.000 0.500
4 I 0.000 0.500 0.000
5 I 0.500 0.000 0.000

[13]
Density functional theory data (GGA-PBE) for crystalline SiBiTeI2 at its relaxed geometry.

**Symmetry**: P4/mmm, No. 123

Lattice parameters (Å, degrees): 6.030 6.030 6.124 90.00 90.00 90.00
Fractional positions:
1 Si 0.000 0.000 0.000
2 Bi 0.500 0.500 0.500
3 Te 0.500 0.500 0.000
4 I 0.000 0.500 0.500
5 I 0.500 0.000 0.500

[14]
Density functional theory data (GGA-PBE) for crystalline Ti2SiBiI at its relaxed geometry.

**Symmetry**: P4/mmm, No. 123

Lattice parameters (Å, degrees): 5.358 5.358 6.103 90.00 90.00 90.00
Fractional positions:
1 Ti 0.000 0.500 0.000
2 Ti 0.500 0.000 0.000
3 Si 0.000 0.000 0.500
4 Bi 0.500 0.500 0.000
5 I 0.500 0.500 0.500

[15]
Density functional theory data (GGA-PBE) for crystalline Sm2BiI at its relaxed geometry.

**Symmetry**: C2/m, No. 12

Lattice parameters (Å, degrees): 6.174 6.174 10.862 91.26 91.26 40.53
Fractional positions:
1 Sm 0.138 0.138 0.086
2 Sm 0.170 0.170 0.678
3 Sm 0.830 0.830 0.322
4 Sm 0.862 0.862 0.914
5 Bi 0.417 0.417 0.138
6 Bi 0.583 0.583 0.862
7 I 0.127 0.127 0.382
8 I 0.873 0.873 0.618

[16]
Density functional theory data (GGA-PBE) for crystalline Sm2BiI at its relaxed geometry.

**Symmetry**: R3m, No. 160

Lattice parameters (Å, degrees): 8.454 8.454 8.454 29.90 29.90 29.90
Fractional positions:
1 Sm 0.000 0.000 0.000
2 Sm 0.183 0.183 0.183
3 Bi 0.592 0.592 0.592
4 I 0.424 0.424 0.424

[17]
Density functional theory data (GGA-PBE) for crystalline Sm7BiI12 at its relaxed geometry.

**Symmetry**: R-3, No. 148

Lattice parameters (Å, degrees): 11.528 11.528 11.528 115.96 115.96 115.96
Fractional positions:
1 Sm 0.000 0.000 0.000
2 Sm 0.155 0.384 0.460
3 Sm 0.384 0.460 0.155
4 Sm 0.460 0.155 0.384
5 Sm 0.540 0.845 0.616
6 Sm 0.616 0.540 0.845
7 Sm 0.845 0.616 0.540
8 Bi 0.500 0.500 0.500
9 I 0.024 0.326 0.101
10 I 0.101 0.024 0.326
11 I 0.203 0.721 0.577
12 I 0.279 0.423 0.797
13 I 0.326 0.101 0.024
14 I 0.423 0.797 0.279
15 I 0.577 0.203 0.721
16 I 0.674 0.899 0.976
17 I 0.721 0.577 0.203
18 I 0.797 0.279 0.423
19 I 0.899 0.976 0.674
20 I 0.976 0.674 0.899

[18]
Density functional theory data (GGA-PBE) for crystalline SmBiI2 at its relaxed geometry.

**Symmetry**: R-3m, No. 166

Lattice parameters (Å, degrees): 11.602 11.602 11.602 19.43 19.43 19.43
Fractional positions:
1 Sm 0.000 0.000 0.000
2 Bi 0.500 0.500 0.500
3 I 0.397 0.397 0.397
4 I 0.603 0.603 0.603

[19]
Density functional theory data (GGA-PBE) for crystalline Sm2BiI at its relaxed geometry.

**Symmetry**: Fm-3m, No. 225

Lattice parameters (Å, degrees): 5.532 5.532 5.532 60.00 60.00 60.00
Fractional positions:
1 Sm 0.250 0.250 0.250
2 Sm 0.750 0.750 0.750
3 Bi 0.000 0.000 0.000
4 I 0.500 0.500 0.500

[20]
Density functional theory data (GGA-PBE) for crystalline Sm6Bi5I at its relaxed geometry.

**Symmetry**: C2/m, No. 12

Lattice parameters (Å, degrees): 7.902 7.902 7.883 99.57 99.57 120.00
Fractional positions:
1 Sm 0.065 0.413 0.741
2 Sm 0.237 0.237 0.255
3 Sm 0.413 0.065 0.741
4 Sm 0.587 0.935 0.259
5 Sm 0.763 0.763 0.745
6 Sm 0.935 0.587 0.259
7 Bi 0.000 0.000 0.500
8 Bi 0.168 0.832 0.000
9 Bi 0.339 0.661 0.500
10 Bi 0.661 0.339 0.500
11 Bi 0.832 0.168 0.000
12 I 0.500 0.500 0.000

Number 1: N(E_F) 1.249 states/eV per atom, ΔE_f (raw) 414 meV/atom. Number 2: N(E_F) 0.850 states/eV per atom, ΔE_f (raw) 467 meV/atom. Number 3: N(E_F) 1.037 states/eV per atom, ΔE_f (raw) 411 meV/atom. Number 4: N(E_F) 1.629 states/eV per atom, ΔE_f (raw) 682 meV/atom. Number 5: N(E_F) 0.896 states/eV per atom, ΔE_f (raw) 253 meV/atom. Number 6: N(E_F) 0.971 states/eV per atom, ΔE_f (raw) 583 meV/atom. Number 7: N(E_F) 0.458 states/eV per atom, ΔE_f (raw) 736 meV/atom. Number 8: N(E_F) 0.472 states/eV per atom, ΔE_f (raw) 732 meV/atom. Number 9: N(E_F) 0.394 states/eV per atom, ΔE_f (raw) 230 meV/atom. Number 10: N(E_F) 0.804 states/eV per atom, ΔE_f (raw) 336 meV/atom. Number 11: N(E_F) 1.182 states/eV per atom, ΔE_f (raw) 2080 meV/atom. Number 12: N(E_F) 0.835 states/eV per atom, ΔE_f (raw) 326 meV/atom. Number 13: N(E_F) 0.771 states/eV per atom, ΔE_f (raw) 682 meV/atom. Number 14: N(E_F) 1.536 states/eV per atom, ΔE_f (raw) 1413 meV/atom. Number 15: N(E_F) 0.662 states/eV per atom, ΔE_f (raw) -842 meV/atom. Number 16: N(E_F) 0.408 states/eV per atom, ΔE_f (raw) -840 meV/atom. Number 17: N(E_F) 0.338 states/eV per atom, ΔE_f (raw) -1092 meV/atom. Number 18: N(E_F) 0.573 states/eV per atom, ΔE_f (raw) -629 meV/atom. Number 19: N(E_F) 1.045 states/eV per atom, ΔE_f (raw) -803 meV/atom. Number 20: N(E_F) 0.255 states/eV per atom, ΔE_f (raw) -931 meV/atom.